No. 1
A relaxed CoAsIr crystal, computed with PBE.

The structure in POSCAR format:
```
CoAsIr
1.0
-1.302 -4.278 -0.147
2.923 -2.925 1.707
-2.358 3.651 1.059
As Ir Co
1 1 1
direct
0.005 0.005 0.000
0.672 0.672 0.000
0.323 0.323 0.000
```

Computed properties:
DFT total energy   -20.1 eV per formula unit
SG   Imm2
Formation enthalpy at 0 K   17.0 kJ per mole of atoms



No. 2
A relaxed CoAsIr2 crystal, computed with PBE.

The structure in POSCAR format:
```
CoAsIr2
1.0
-3.079 2.916 1.901
-4.173 -0.920 -1.825
3.151 -2.799 1.956
Ir Co As
2 1 1
direct
0.000 0.000 0.000
0.250 0.750 0.500
0.750 0.250 0.500
0.500 0.500 0.000
```

Computed properties:
DFT total energy   -28.5 eV per formula unit
SG   I-4m2
Formation enthalpy at 0 K   24.1 kJ per mole of atoms



No. 3
A relaxed CoAs2Ir crystal, computed with PBE.

The structure in POSCAR format:
```
CoAs2Ir
1.0
-1.179 0.001 2.694
1.721 -2.217 -0.877
6.545 3.947 2.862
Ir As Co
1 2 1
direct
0.500 0.500 0.750
0.000 0.000 0.013
0.000 0.000 0.487
0.500 0.500 0.250
```

Computed properties:
DFT total energy   -23.7 eV per formula unit
Excess energy over the best structure of this formula in the dataset   551 meV per atom
SG   Cmmm
Formation enthalpy at 0 K   36.6 kJ per mole of atoms



Q: Among the records above, which one has the highest formation enthalpy at 0 K?
A: CoAs2Ir



Q: Look up the DFT total energy of the second one.
A: -28.5 eV per formula unit



Q: Which of these has the lowest formation enthalpy at 0 K?
A: CoAsIr



Q: What is the formula in the first record?
A: CoAsIr